Computed, not measured: a relaxed HfHCl2 crystal at the PBE level of DFT.

a = 4.403 Å, b = 4.403 Å, c = 4.403 Å
α = 60.00°, β = 60.00°, γ = 60.00°
Sites, in units of the cell vectors:
Hf  0.000  0.000  0.000
H  0.500  0.500  0.500
Cl  0.250  0.250  0.250
Cl  0.750  0.750  0.750

Summary:
The symmetry is No. 225. The total energy comes out at -4.57 eV per atom.

=====

Computed, not measured: a relaxed HfH2Cl4 crystal at the PBE level of DFT.

a = 6.511 Å, b = 6.511 Å, c = 6.942 Å
α = 101.11°, β = 101.11°, γ = 35.07°
Sites, in units of the cell vectors:
Hf  0.000  0.000  0.000
H  0.149  0.149  0.137
H  0.851  0.851  0.863
Cl  0.108  0.108  0.349
Cl  0.392  0.392  0.110
Cl  0.608  0.608  0.890
Cl  0.892  0.892  0.651

Summary:
The symmetry is No. 12. The total energy comes out at -4.17 eV per atom.

=====

Computed, not measured: a relaxed HfH3Cl crystal at the PBE level of DFT.

a = 3.727 Å, b = 3.727 Å, c = 3.727 Å
α = 90.00°, β = 90.00°, γ = 90.00°
Sites, in units of the cell vectors:
Hf  0.000  0.000  0.000
H  0.000  0.500  0.500
H  0.500  0.000  0.500
H  0.500  0.500  0.000
Cl  0.500  0.500  0.500

Summary:
The symmetry is No. 221. The energy above the lowest structure with this stoichiometry comes out at 1.3564 eV per atom.